AcMgGeN3 | Alexandria via LeMat-Bulk | GGA-PBE | optimized geometry; total moment = 0.00 μB/cell; energy relative to the elements, uncorrected = -0.66 eV/atom
1.0
3.419 0.000 0.000
0.000 6.017 0.432
0.000 -1.677 8.560
N Ge Mg Ac
6 2 2 2
Direct
0.250 0.750 0.408 N
0.250 0.093 0.863 N
0.250 0.598 0.800 N
0.750 0.250 0.592 N
0.750 0.907 0.137 N
0.750 0.402 0.200 N
0.750 0.694 0.275 Ge
0.250 0.306 0.725 Ge
0.750 0.198 0.999 Mg
0.250 0.802 0.001 Mg
0.250 0.202 0.341 Ac
0.750 0.798 0.659 Ac